# 1
# LaY2Tl

A relaxed LaY2Tl crystal (PBE-GGA, Alexandria).

E_tot   -19.978 eV/f.u.
Excess energy over the best structure of this formula in the dataset   257 meV per atom
Energy of formation   0.061 eV per atom
Spin magnetization   0.00 μB/f.u.

Geometry as extended XYZ:
```
8
Lattice="-4.444 4.444 3.379 4.444 -4.444 3.379 4.444 4.444 -3.379" Properties=species:S:1:pos:R:3 pbc="T T T"
La 0.000 0.000 0.000
La 0.000 4.444 1.689
Y 2.222 -1.898 2.534
Y 2.546 2.222 0.845
Y 2.222 6.342 -0.845
Y 1.898 2.222 4.223
Tl 4.444 0.000 1.689
Tl 0.000 0.000 3.379
```

=====

# 2
# Sm8Te4P3O

A relaxed Sm8Te4P3O crystal (PBE-GGA, Alexandria).

E_tot   -97.655 eV/f.u.
Formation energy (no corrections)   -1.63 eV/atom
Spin magnetization   0.00 μB/f.u.

Geometry as extended XYZ:
```
16
Lattice="4.118 2.378 7.198 -4.118 2.378 7.198 0.000 -4.755 7.198" Properties=species:S:1:pos:R:3 pbc="T T T"
Sm 0.000 0.000 5.119
Sm -1.982 -1.144 12.253
Sm 0.000 -2.289 9.341
Sm -1.982 1.144 9.341
Sm 1.982 -1.144 12.253
Sm 0.000 2.289 12.253
Sm 1.982 1.144 9.341
Sm 0.000 0.000 16.474
Te 0.000 0.000 0.000
Te -2.059 -1.189 7.198
Te -2.059 1.189 14.396
Te 0.000 2.378 7.198
P -4.118 0.000 10.797
P -2.059 1.189 3.599
P 2.059 1.189 3.599
O 0.000 0.000 10.797
```

=====

# 3
# Ca2SmMg2

A relaxed Ca2SmMg2 crystal (PBE-GGA, Alexandria).

E_tot   -11.964 eV/f.u.
Energy of formation   -0.011 eV per atom
Spin magnetization   0.34 μB/f.u.

Geometry as extended XYZ:
```
5
Lattice="1.934 -11.490 0.000 1.934 11.490 0.000 0.000 0.000 3.726" Properties=species:S:1:pos:R:3 pbc="T T T"
Ca 1.934 7.402 0.000
Ca 1.934 -7.402 0.000
Sm 0.000 0.000 0.000
Mg 1.934 1.981 1.863
Mg 1.934 -1.981 1.863
```